DFT (PBE-GGA) results for an optimized crystal structure of RbAc2TeO8.

Unit cell a=4.5920 b=8.8633 c=5.2234 alpha=90.00 beta=99.05 gamma=90.00
With the nearest neighbours (Å) after each atom.
Fractional positions:
Rb (0.0000, 0.0000, 0.0000)  8 O 3.01-3.19
Ac (0.5000, 0.2855, 0.5000)  6 O 2.41-2.64
Ac (0.5000, 0.7145, 0.5000)  6 O 2.41-2.64
Te (0.0000, 0.5000, 0.0000)  6 O 1.92-1.99
O (0.0899, 0.3295, 0.7778)  1 Te 1.99
O (0.0899, 0.6705, 0.7778)  1 Te 1.99
O (0.3779, 0.5000, 0.2200)  1 Te 1.92
O (0.4230, 0.0000, 0.6134)  1 O 1.47
O (0.5770, 0.0000, 0.3866)  1 O 1.47
O (0.6221, 0.5000, 0.7800)  1 Te 1.92
O (0.9101, 0.3295, 0.2222)  1 Te 1.99
O (0.9101, 0.6705, 0.2222)  1 Te 1.99

Calculated values
Energy relative to the elements, uncorrected, eV/atom: -1.904
Volume, Å³/atom: 17.495
Space group: P2/m, No. 10
Electronic total energy, eV per atom: -6.2366